DFT (PBE+U) results for crystalline LaMnN2F at its relaxed geometry.

## Properties
SG	P4/mmm
size of the total moment	4.59	μB/f.u.
DFT total energy	-0.232	hartree per atom

```
LaMnN2F
1.0
4.467 0.000 0.000
0.000 4.467 0.000
0.000 0.000 4.545
La Mn N F
1 1 2 1
Cartesian
0.000 0.000 0.000
2.233 2.233 2.273
0.000 2.233 0.000
2.233 0.000 0.000
0.000 0.000 2.273
```